Compound: CaSm2NpO6
Source: the Alexandria database
Functional: PBE
Structure: relaxed

Cell: 5.9595 5.9595 15.3699 Å, 90.00 90.00 120.00°
Space group R3 (No. 146, hexagonal axes)
One atom of each set of equivalent atoms:
Ca1 0.0000 0.0000 0.0000 [3 per cell]
Sm1 0.0000 0.0000 0.2774 [3 per cell]
Sm2 0.0000 0.0000 0.7814 [3 per cell]
Np1 0.0000 0.0000 0.4937 [3 per cell]
O1 0.0422 0.3597 0.5569 [9 per cell]
O2 0.0532 0.6675 0.0619 [9 per cell]

- E_form (uncorrected): -3060 kJ/mol of formula units
- DOS(E_F): 10.83 states/eV/f.u.
- Size of the total moment: 0.30 μB/atom
- Uncorrected energy: -257.53 eV/cell